(1)
Here is Pm2Dy4Cd after structural relaxation from Alexandria via LeMat-Bulk. Energies are from GGA-PBE.

Unit cell a=8.7016 b=8.7016 c=8.2253 alpha=116.98 beta=116.98 gamma=23.80
Last column: nearest neighbours and their distance in Å.
Element x y z (fractional)
Pm (0.2131, 0.2131, 0.1295)  1 Cd 3.27, 4 Pm 3.44-3.59, 6 Dy 3.50-3.57
Pm (0.7869, 0.7869, 0.8705)  1 Cd 3.27, 4 Pm 3.44-3.59, 6 Dy 3.50-3.57
Dy (0.1426, 0.1426, 0.4675)  1 Cd 3.47, 3 Pm 3.50-3.56, 8 Dy 3.53-3.88
Dy (0.4409, 0.4409, 0.2648)  2 Cd 3.32, 7 Dy 3.44-3.60, 3 Pm 3.50-3.57
Dy (0.5591, 0.5591, 0.7352)  2 Cd 3.32, 7 Dy 3.44-3.60, 3 Pm 3.50-3.57
Dy (0.8574, 0.8574, 0.5325)  1 Cd 3.47, 3 Pm 3.50-3.56, 8 Dy 3.53-3.88
Cd (0.0000, 0.0000, 0.0000)  2 Pm 3.27, 6 Dy 3.32-3.47, 2 Cd 3.59

Results
crystal system	monoclinic
ΔE_f	1	kJ/mol of formula units
magnetic moment	0.00	μB/f.u.
V	223	Å³/cell

(2)
Here is FeNi3Te after structural relaxation from Alexandria via LeMat-Bulk. Energies are from GGA-PBE.

Unit cell a=4.3592 b=4.3592 c=4.3592 alpha=90.00 beta=90.00 gamma=90.00
Last column: nearest neighbours and their distance in Å.
Element x y z (fractional)
Fe (0.0000, 0.0000, 0.0000)  6 Ni 2.18
Ni (0.0000, 0.0000, 0.5000)  2 Fe 2.18
Ni (0.0000, 0.5000, 0.0000)  2 Fe 2.18
Ni (0.5000, 0.0000, 0.0000)  2 Fe 2.18
Te (0.5000, 0.5000, 0.5000)  12 Ni 3.08

Results
formation energy from raw total energies	792.1	meV per atom
crystal system	cubic
polymorph energy (0 for the lowest one)	0.0	kJ/mol of formula units
magnetic moment	4.64	μB/f.u.
V	83	Å³/cell

(3)
Here is Si2HgMo after structural relaxation from Alexandria via LeMat-Bulk. Energies are from GGA-PBE.

Unit cell a=7.0774 b=7.0774 c=4.2909 alpha=107.58 beta=107.58 gamma=22.05
Last column: nearest neighbours and their distance in Å.
Element x y z (fractional)
Si (0.0000, 0.0000, 0.0000)  4 Mo 2.54, 2 Si 2.71
Si (0.1804, 0.1804, 0.6793)  2 Mo 2.60, 2 Si 2.71
Hg (0.8045, 0.8045, 0.3030)  2 Hg 2.71, 4 Si 3.02
Mo (0.5124, 0.5124, 0.5124)  6 Si 2.54-2.60, 2 Mo 2.71

Results
formation energy from raw total energies	268.7	meV per atom
crystal system	monoclinic
magnetic moment	0.01	μB/f.u.
V	77	Å³/cell

(4)
Here is Ce2SiAu after structural relaxation from Alexandria via LeMat-Bulk. Energies are from GGA-PBE.

Unit cell a=6.8035 b=6.2582 c=6.1935 alpha=66.24 beta=57.34 gamma=56.42
Last column: nearest neighbours and their distance in Å.
Element x y z (fractional)
Ce (0.1769, 0.8231, 0.8231)  1 Ce 2.80, 2 Si 3.11
Ce (0.2500, 0.2500, 0.2500)  4 Si 3.15, 4 Au 3.15, 4 Ce 3.45
Ce (0.7500, 0.7500, 0.7500)  4 Si 3.15, 4 Au 3.15, 4 Ce 3.45
Ce (0.8231, 0.1769, 0.1769)  1 Ce 2.80, 2 Si 3.11
Si (0.2907, 0.7093, 0.2907)  2 Au 2.70
Si (0.7093, 0.2907, 0.7093)  2 Au 2.70
Au (0.3119, 0.3119, 0.6881)  2 Si 2.70
Au (0.6881, 0.6881, 0.3119)  2 Si 2.70

Results
formation energy from raw total energies	-580.4	meV per atom
crystal system	orthorhombic
polymorph energy (0 for the lowest one)	0.0	kJ/mol of formula units
magnetic moment	1.50	μB/f.u.
V	183	Å³/cell

(5)
Here is PaMnBe17 after structural relaxation from Alexandria via LeMat-Bulk. Energies are from GGA-PBE.

Unit cell a=5.7038 b=5.7038 c=5.7038 alpha=83.13 beta=83.13 gamma=83.13
Last column: nearest neighbours and their distance in Å.
Element x y z (fractional)
Pa (0.0000, 0.0000, 0.0000)  19 Be 2.74-2.88
Mn (0.6754, 0.6754, 0.6754)  13 Be 2.55-2.76
Be (0.0518, 0.3502, 0.6286)  8 Be 2.11-2.34
Be (0.0518, 0.6286, 0.3502)  8 Be 2.11-2.34
Be (0.2005, 0.6822, 0.6822)  9 Be 2.17-2.34
Be (0.2492, 0.2492, 0.2492)  7 Be 2.14-2.40
Be (0.3380, 0.3380, 0.8470)  10 Be 2.15-2.33
Be (0.3380, 0.8470, 0.3380)  10 Be 2.15-2.33
Be (0.3502, 0.0518, 0.6286)  8 Be 2.11-2.34
Be (0.3502, 0.6286, 0.0518)  8 Be 2.11-2.34
Be (0.4439, 0.4439, 0.4439)  7 Be 2.14-2.33
Be (0.5029, 0.9968, 0.9968)  9 Be 2.18-2.40
Be (0.6286, 0.0518, 0.3502)  8 Be 2.11-2.34
Be (0.6286, 0.3502, 0.0518)  8 Be 2.11-2.34
Be (0.6822, 0.2005, 0.6822)  9 Be 2.17-2.34
Be (0.6822, 0.6822, 0.2005)  9 Be 2.17-2.34
Be (0.8470, 0.3380, 0.3380)  10 Be 2.15-2.33
Be (0.9968, 0.5029, 0.9968)  9 Be 2.18-2.40
Be (0.9968, 0.9968, 0.5029)  9 Be 2.18-2.40

Results
crystal system	trigonal
ΔE_f	-15	kJ/mol of formula units
magnetic moment	2.70	μB/f.u.
V	182	Å³/cell

(6)
Here is Li3HRh after structural relaxation from Alexandria via LeMat-Bulk. Energies are from GGA-PBE.

Unit cell a=5.2674 b=5.2674 c=6.5405 alpha=125.98 beta=125.98 gamma=61.06
Last column: nearest neighbours and their distance in Å.
Element x y z (fractional)
Li (0.0391, 0.5334, 0.8271)  2 H 1.93-1.94
Li (0.0455, 0.0455, 0.3314)  1 H 2.23
Li (0.4666, 0.9609, 0.1729)  2 H 1.93-1.94
Li (0.5334, 0.0391, 0.8271)  2 H 1.93-1.94
Li (0.9545, 0.9545, 0.6686)  1 H 2.23
Li (0.9609, 0.4666, 0.1729)  2 H 1.93-1.94
H (0.2858, 0.2858, 0.0424)  1 Rh 1.68
H (0.7142, 0.7142, 0.9576)  1 Rh 1.68
Rh (0.4656, 0.4656, 0.6779)  1 H 1.68
Rh (0.5344, 0.5344, 0.3221)  1 H 1.68

Results
crystal system	monoclinic
polymorph energy (0 for the lowest one)	19.6	kJ/mol of formula units
magnetic moment	0.00	μB/f.u.
V	116	Å³/cell

(7)
Here is TlAgHg2 after structural relaxation from Alexandria via LeMat-Bulk. Energies are from GGA-PBE.

Unit cell a=10.5091 b=10.5091 c=10.5091 alpha=18.03 beta=18.03 gamma=18.03
Last column: nearest neighbours and their distance in Å.
Element x y z (fractional)
Tl (0.0000, 0.0000, 0.0000)  6 Tl 3.29, 6 Hg 3.41
Ag (0.5000, 0.5000, 0.5000)  6 Hg 3.02, 6 Ag 3.29
Hg (0.2422, 0.2422, 0.2422)  3 Ag 3.02, 6 Hg 3.29
Hg (0.7578, 0.7578, 0.7578)  3 Ag 3.02, 6 Hg 3.29

Results
crystal system	trigonal
ΔE_f	23	kJ/mol of formula units
magnetic moment	0.00	μB/f.u.
V	97	Å³/cell

(8)
Here is Ho2CdSi4Pt3 after structural relaxation from Alexandria via LeMat-Bulk. Energies are from GGA-PBE.

Unit cell a=4.1725 b=4.1725 c=10.3041 alpha=90.00 beta=90.00 gamma=90.00
Last column: nearest neighbours and their distance in Å.
Element x y z (fractional)
Ho (0.0000, 0.5000, 0.2432)  8 Si 3.15-3.26, 6 Pt 3.21-3.37, 2 Cd 3.37
Ho (0.5000, 0.0000, 0.7568)  8 Si 3.15-3.26, 6 Pt 3.21-3.37, 2 Cd 3.37
Cd (0.0000, 0.0000, 0.5000)  4 Si 2.60
Si (0.0000, 0.0000, 0.0000)  4 Pt 2.42
Si (0.0000, 0.5000, 0.6502)  3 Pt 2.37-2.60, 2 Cd 2.60
Si (0.5000, 0.0000, 0.3498)  3 Pt 2.37-2.60, 2 Cd 2.60
Si (0.5000, 0.5000, 0.0000)  4 Pt 2.42
Pt (0.0000, 0.5000, 0.8801)  5 Si 2.37-2.42
Pt (0.5000, 0.0000, 0.1199)  5 Si 2.37-2.42
Pt (0.5000, 0.5000, 0.5000)  4 Si 2.60

Results
formation energy from raw total energies	-878.8	meV per atom
crystal system	tetragonal
magnetic moment	0.00	μB/f.u.
V	179	Å³/cell

(9)
Here is Rb2PaI2Br4 after structural relaxation from Alexandria via LeMat-Bulk. Energies are from GGA-PBE.

Unit cell a=8.2749 b=8.2749 c=8.2749 alpha=121.84 beta=121.84 gamma=86.84
Last column: nearest neighbours and their distance in Å.
Element x y z (fractional)
Rb (0.2500, 0.7500, 0.5000)  4 I 4.02, 8 Br 4.14
Rb (0.7500, 0.2500, 0.5000)  4 I 4.02, 8 Br 4.14
Pa (0.0000, 0.0000, 0.0000)  4 Br 2.79, 2 I 3.07
I (0.2553, 0.2553, 0.0000)  1 Pa 3.07
I (0.7447, 0.7447, 0.0000)  1 Pa 3.07
Br (0.2453, 0.2453, 0.4905)  1 Pa 2.79
Br (0.2453, 0.7547, 0.0000)  1 Pa 2.79
Br (0.7547, 0.2453, 0.0000)  1 Pa 2.79
Br (0.7547, 0.7547, 0.5095)  1 Pa 2.79

Results
formation energy from raw total energies	-1503.6	meV per atom
crystal system	tetragonal
magnetic moment	1.01	μB/f.u.
V	389	Å³/cell

(10)
Here is SrTi2Ni2 after structural relaxation from Alexandria via LeMat-Bulk. Energies are from GGA-PBE.

Unit cell a=7.6750 b=7.6750 c=3.0914 alpha=90.00 beta=90.00 gamma=90.00
Last column: nearest neighbours and their distance in Å.
Element x y z (fractional)
Sr (0.0000, 0.0000, 0.0000)  4 Ni 3.06, 2 Sr 3.09, 8 Ti 3.33
Sr (0.5000, 0.5000, 0.0000)  4 Ni 3.06, 2 Sr 3.09, 8 Ti 3.33
Ti (0.1432, 0.3568, 0.5000)  4 Ni 2.54
Ti (0.3568, 0.8568, 0.5000)  4 Ni 2.54
Ti (0.6432, 0.1432, 0.5000)  4 Ni 2.54
Ti (0.8568, 0.6432, 0.5000)  4 Ni 2.54
Ni (0.1189, 0.6189, 0.0000)  4 Ti 2.54, 1 Ni 2.58
Ni (0.3811, 0.1189, 0.0000)  4 Ti 2.54, 1 Ni 2.58
Ni (0.6189, 0.8811, 0.0000)  4 Ti 2.54, 1 Ni 2.58
Ni (0.8811, 0.3811, 0.0000)  4 Ti 2.54, 1 Ni 2.58

Results
crystal system	tetragonal
polymorph energy (0 for the lowest one)	90.0	kJ/mol of formula units
ΔE_f	55	kJ/mol of formula units
magnetic moment	0.00	μB/f.u.
V	182	Å³/cell

(11)
Here is SiRu2Se after structural relaxation from Alexandria via LeMat-Bulk. Energies are from GGA-PBE.

Unit cell a=6.6360 b=6.6360 c=6.6360 alpha=132.12 beta=132.12 gamma=70.04
Last column: nearest neighbours and their distance in Å.
Element x y z (fractional)
Si (0.0000, 0.0000, 0.0000)  4 Ru 2.30
Si (0.7500, 0.2500, 0.5000)  4 Ru 2.30
Ru (0.1135, 0.6250, 0.9885)  2 Si 2.30, 2 Se 2.38
Ru (0.3750, 0.3635, 0.4885)  2 Si 2.30, 2 Se 2.38
Ru (0.6365, 0.1250, 0.0115)  2 Si 2.30, 2 Se 2.38
Ru (0.8750, 0.8865, 0.5115)  2 Si 2.30, 2 Se 2.38
Se (0.2500, 0.7500, 0.5000)  4 Ru 2.38
Se (0.5000, 0.5000, 0.0000)  4 Ru 2.38

Results
formation energy from raw total energies	143.4	meV per atom
crystal system	tetragonal
polymorph energy (0 for the lowest one)	125.1	kJ/mol of formula units
magnetic moment	0.00	μB/f.u.
V	158	Å³/cell

(12)
Here is SrMo2Se after structural relaxation from Alexandria via LeMat-Bulk. Energies are from GGA-PBE.

Unit cell a=3.5492 b=3.5757 c=6.7881 alpha=90.00 beta=90.00 gamma=90.00
Last column: nearest neighbours and their distance in Å.
Element x y z (fractional)
Sr (0.0000, 0.0000, 0.0000)  8 Mo 3.37, 2 Se 3.39, 4 Sr 3.55-3.58
Mo (0.5000, 0.5000, 0.3304)  1 Mo 2.30
Mo (0.5000, 0.5000, 0.6696)  1 Mo 2.30
Se (0.0000, 0.0000, 0.5000)  8 Mo 2.77

Results
formation energy from raw total energies	637.9	meV per atom
crystal system	orthorhombic
magnetic moment	0.00	μB/f.u.
V	86	Å³/cell

| no. | theoretical density (g/cm3) |
| --- | --- |
| 1 | 7.85 |
| 2 | 7.21 |
| 3 | 7.63 |
| 4 | 9.17 |
| 5 | 4.01 |
| 6 | 3.57 |
| 7 | 12.20 |
| 8 | 10.55 |
| 9 | 4.17 |
| 10 | 5.48 |
| 11 | 6.51 |
| 12 | 6.91 |